Compound: Ag2MoCl
Source: Alexandria via LeMat-Bulk
Functional: meta-GGA SCAN
Structure: single point on PBEsol structure

Values from the calculation:
- Fermi-level density of states: 3.2 states/eV/cell
- Total energy: -104.57 eV/f.u.

a = 2.9625 Å, b = 4.8872 Å, c = 9.4696 Å
α = 90.00°, β = 90.00°, γ = 90.00°
With the nearest neighbours (Å) after each atom.
Space group Cmm2 (No. 35)
Symmetry-distinct sites (fractional):
Ag  0.0000  0.0000  0.0000  8 Ag 2.77-2.96
Ag  0.0000  0.5000  0.2471  8 Ag 2.77-2.96, 2 Mo 2.82
Mo  0.0000  0.0000  0.5000  2 Cl 2.42
Cl  0.0000  0.5000  0.7015  2 Mo 2.42

Compound: BeRh2
Source: Alexandria via LeMat-Bulk
Functional: meta-GGA SCAN
Structure: single point on PBEsol structure

Values from the calculation:
- Energy of formation from the pure elements: -0.41 eV per atom
- Fermi-level density of states: 9.9 states/eV/cell
- Total energy: -73.11 eV/f.u.

a = 5.4346 Å, b = 5.4346 Å, c = 4.6529 Å
α = 90.00°, β = 90.00°, γ = 90.00°
With the nearest neighbours (Å) after each atom.
Space group I4/mcm (No. 140)
Symmetry-distinct sites (fractional):
Be  0.0000  0.0000  0.2500  2 Be 2.33, 8 Rh 2.34
Rh  0.1648  0.3352  0.0000  4 Be 2.34, 1 Rh 2.53

Compound: LiCuS
Source: Alexandria via LeMat-Bulk
Functional: meta-GGA SCAN
Structure: single point on PBEsol structure

Values from the calculation:
- Fermi-level density of states: 0.0 states/eV/cell
- Total energy: -29.73 eV/f.u.

a = 6.2482 Å, b = 3.6798 Å, c = 6.8785 Å
α = 90.00°, β = 90.00°, γ = 90.00°
With the nearest neighbours (Å) after each atom.
Space group Pnma (No. 62)
Symmetry-distinct sites (fractional):
Li  0.0325  0.2500  0.1715  5 S 2.45-2.68, 1 Cu 2.74
Cu  0.1321  0.2500  0.5590  4 S 2.31-2.41
S  0.2470  0.7500  0.3764  4 Cu 2.31-2.41, 3 Li 2.45-2.58

Compound: CsLaAsBr2
Source: Alexandria via LeMat-Bulk
Functional: meta-GGA SCAN
Structure: single point on PBEsol structure

Values from the calculation:
- Fermi-level density of states: 4.1 states/eV/cell
- Total energy: -147.45 eV/f.u.

a = 5.8900 Å, b = 5.8900 Å, c = 5.5194 Å
α = 90.00°, β = 90.00°, γ = 90.00°
With the nearest neighbours (Å) after each atom.
Space group P4/mmm (No. 123)
Symmetry-distinct sites (fractional):
Cs  0.0000  0.0000  0.0000  8 Br 4.04, 4 As 4.16
La  0.5000  0.5000  0.5000  2 As 2.76, 4 Br 2.95
As  0.5000  0.5000  0.0000  2 La 2.76
Br  0.0000  0.5000  0.5000  2 La 2.95

Compound: ZrTa2Ru
Source: Alexandria via LeMat-Bulk
Functional: meta-GGA SCAN
Structure: single point on PBEsol structure

Values from the calculation:
- Energy of formation from the pure elements: -0.34 eV per atom
- Fermi-level density of states: 4.3 states/eV/cell
- Total energy: -200.04 eV/f.u.

a = 3.2146 Å, b = 4.5221 Å, c = 9.5010 Å
α = 90.00°, β = 90.00°, γ = 90.00°
With the nearest neighbours (Å) after each atom.
Space group Immm (No. 71)
Symmetry-distinct sites (fractional):
Zr  0.0000  0.0000  0.0000  4 Ru 2.77, 4 Ta 2.96
Ta  0.0000  0.5000  0.2386  2 Ru 2.78, 4 Ta 2.78, 2 Zr 2.96
Ru  0.0000  0.0000  0.5000  4 Zr 2.77, 4 Ta 2.78

Compound: LaInP2S
Source: Alexandria via LeMat-Bulk
Functional: meta-GGA SCAN
Structure: single point on PBEsol structure

Values from the calculation:
- Fermi-level density of states: 4.0 states/eV/cell
- Total energy: -108.20 eV/f.u.

a = 4.8858 Å, b = 4.8858 Å, c = 5.0047 Å
α = 90.00°, β = 90.00°, γ = 90.00°
With the nearest neighbours (Å) after each atom.
Space group P4/mmm (No. 123)
Symmetry-distinct sites (fractional):
La  0.0000  0.0000  0.0000  4 S 3.45, 8 P 3.50
In  0.5000  0.5000  0.5000  4 P 2.44, 2 S 2.50
P  0.0000  0.5000  0.5000  2 In 2.44
S  0.5000  0.5000  0.0000  2 In 2.50

Compound: BeFeOs
Source: Alexandria via LeMat-Bulk
Functional: meta-GGA SCAN
Structure: single point on PBEsol structure

Values from the calculation:
- Energy of formation from the pure elements: 0.07 eV per atom
- Fermi-level density of states: 2.2 states/eV/cell
- Offset from the most stable computed form: 130 meV/atom
- Total energy: -94.16 eV/f.u.

a = 2.6146 Å, b = 2.6146 Å, c = 5.8064 Å
α = 90.00°, β = 90.00°, γ = 120.00°
With the nearest neighbours (Å) after each atom.
Space group P3m1 (No. 156)
Symmetry-distinct sites (fractional):
Be  0.0000  0.0000  0.0000  3 Fe 2.37, 3 Os 2.48, 6 Be 2.61
Fe  0.3333  0.6667  0.6852  3 Be 2.37, 3 Os 2.51, 6 Fe 2.61
Os  0.6667  0.3333  0.3392  3 Be 2.48, 3 Fe 2.51, 6 Os 2.61

Compound: CsMgH2
Source: Alexandria via LeMat-Bulk
Functional: meta-GGA SCAN
Structure: single point on PBEsol structure

Values from the calculation:
- Fermi-level density of states: 3.5 states/eV/cell
- Total energy: -47.89 eV/f.u.

a = 6.8763 Å, b = 6.8763 Å, c = 6.8763 Å
α = 90.00°, β = 90.00°, γ = 90.00°
With the nearest neighbours (Å) after each atom.
Space group Fm-3m (No. 225)
Symmetry-distinct sites (fractional):
Cs  0.0000  0.0000  0.0000  8 H 2.98
Mg  0.0000  0.0000  0.5000  8 H 2.98
H  0.2500  0.2500  0.2500  4 Mg 2.98, 4 Cs 2.98

Fermi-level density of states of number 5 (ZrTa2Ru)? 4.3 states/eV/cell

Among the records above, which one has the lowest Fermi-level density of states? LiCuS

Repeat the sixth record exactly.
Compound: LaInP2S
Source: Alexandria via LeMat-Bulk
Functional: meta-GGA SCAN
Structure: single point on PBEsol structure

Values from the calculation:
- Fermi-level density of states: 4.0 states/eV/cell
- Total energy: -108.20 eV/f.u.

a = 4.8858 Å, b = 4.8858 Å, c = 5.0047 Å
α = 90.00°, β = 90.00°, γ = 90.00°
With the nearest neighbours (Å) after each atom.
Space group P4/mmm (No. 123)
Symmetry-distinct sites (fractional):
La  0.0000  0.0000  0.0000  4 S 3.45, 8 P 3.50
In  0.5000  0.5000  0.5000  4 P 2.44, 2 S 2.50
P  0.0000  0.5000  0.5000  2 In 2.44
S  0.5000  0.5000  0.0000  2 In 2.50

The lowest total energy belongs to which entry? ZrTa2Ru